DFT (PBE-GGA) results for a geometry-optimized Ho2SbTe structure.

Cell: 4.3748 7.2818 7.5477 Å, 90.00 90.00 90.00°
Positions (direct):
Ho 0.2500 0.0013 0.2405
Ho 0.2500 0.4987 0.2405
Ho 0.7500 0.5013 0.7595
Ho 0.7500 0.9987 0.7595
Sb 0.2500 0.7500 0.9135
Sb 0.7500 0.2500 0.0865
Te 0.2500 0.2500 0.5814
Te 0.7500 0.7500 0.4186

Its density is 8.0 g/cm³. The uncorrected energy is -42.4 eV for the cell shown. Its space-group type is Pmmn (59). As for the formation energy without anion corrections: -1.200 eV/atom. The volume comes out at 30.1 Å³ per atom.